Entry 1:
A relaxed Ba2SbO crystal, computed with PBE-GGA.

Cell and atoms, written as extended XYZ:
```
16
Lattice="5.8310 0.0000 0.0000 0.0000 7.9502 0.0000 0.0000 0.0000 11.4896" Properties=species:S:1:pos:R:3 pbc="T T T"
Ba 1.4578 5.5303 8.1472
Ba 4.3733 2.4198 3.3424
Ba 4.3733 6.3949 2.4024
Sb 4.3733 3.8956 6.4933
O 4.3733 4.0590 1.3128
Ba 4.3733 4.0939 10.3072
Sb 1.4578 0.0795 0.7485
Ba 1.4578 7.8313 4.5624
Sb 4.3733 7.8707 10.7411
Ba 1.4578 3.8562 1.1824
O 1.4578 3.8912 10.1768
O 4.3733 0.0839 4.4320
O 1.4578 7.8663 7.0576
Ba 1.4578 1.5552 9.0872
Ba 4.3733 0.1188 6.9272
Sb 1.4578 4.0546 4.9963
```

Output
Space-group type: Pnma, No. 62
E_form (uncorrected) in meV/atom: -1567
Total energy in eV per atom: -4.798
Distance to the lowest polymorph of the same formula in eV per atom: 0.000


Entry 2:
A relaxed VGeMo2 crystal, computed with PBE-GGA.

Cell and atoms, written as extended XYZ:
```
4
Lattice="-0.6355 -3.1975 -0.3425 1.6079 -0.0136 -2.8565 4.7375 -1.2278 2.6726" Properties=species:S:1:pos:R:3 pbc="T T T"
Ge 2.8550 -2.2195 -0.2632
V 0.4862 -1.6056 -1.5995
Mo 1.1949 -0.3097 0.6741
Mo 3.5426 -0.9181 1.9985
```

Output
Space-group type: P4/mmm, No. 123
Formation enthalpy at 0 K in eV/atom: -0.037
Total energy in eV per atom: -8.887